(1)
Crystalline KMgH6Pt at its relaxed geometry, computed with PBE. Values from VASP.

Cell and atoms, written as Quantum ESPRESSO input:
```
&SYSTEM
  ibrav = 0, nat = 9, ntyp = 4
/
ATOMIC_SPECIES
K 39.10 K.upf
Mg 24.30 Mg.upf
H 1.01 H.upf
Pt 195.08 Pt.upf
ATOMIC_POSITIONS crystal
K 0.0000 0.0000 0.0000
Mg 0.6666 0.6666 0.5000
H 0.0494 0.3648 0.3080
H 0.3647 0.0495 0.6920
H 0.5858 0.3647 0.6920
H 0.0494 0.5859 0.6920
H 0.3648 0.5858 0.3080
H 0.5858 0.0494 0.3080
Pt 0.3333 0.3333 0.5000
CELL_PARAMETERS angstrom
4.8706 0.0002 0.0000
2.4355 4.2180 0.0000
0.0001 -0.0003 5.6021
```

**Symmetry**: P312 (149)

(2)
Crystalline K3RbMg2H9 at its relaxed geometry, computed with PBE. Values from VASP.

Cell and atoms, written as Quantum ESPRESSO input:
```
&SYSTEM
  ibrav = 0, nat = 15, ntyp = 4
/
ATOMIC_SPECIES
K 39.10 K.upf
Rb 85.47 Rb.upf
Mg 24.30 Mg.upf
H 1.01 H.upf
ATOMIC_POSITIONS crystal
K 0.3333 0.6667 0.7430
K 0.0000 0.0000 0.0000
K 0.6667 0.3333 0.2570
Rb 0.0000 0.0000 0.5000
Mg 0.3333 0.6667 0.1448
Mg 0.6667 0.3333 0.8552
H 0.8269 0.1731 0.7389
H 0.8269 0.6538 0.7389
H 0.3462 0.1731 0.7389
H 0.6538 0.8269 0.2611
H 0.1731 0.3462 0.2611
H 0.1731 0.8269 0.2611
H 0.5000 0.0000 0.0000
H 0.0000 0.5000 0.0000
H 0.5000 0.5000 0.0000
CELL_PARAMETERS angstrom
5.8249 0.0000 0.0000
-2.9124 5.0445 0.0000
0.0000 0.0000 8.6089
```

**Symmetry**: P-3m1 (164)

(3)
Crystalline KRb3Mg2H9 at its relaxed geometry, computed with PBE. Values from VASP.

Cell and atoms, written as Quantum ESPRESSO input:
```
&SYSTEM
  ibrav = 0, nat = 15, ntyp = 4
/
ATOMIC_SPECIES
K 39.10 K.upf
Rb 85.47 Rb.upf
Mg 24.30 Mg.upf
H 1.01 H.upf
ATOMIC_POSITIONS crystal
K 0.0000 0.0000 0.5000
Rb 0.3333 0.6667 0.6706
Rb 0.0000 0.0000 0.0000
Rb 0.6667 0.3333 0.3294
Mg 0.3333 0.6667 0.1550
Mg 0.6667 0.3333 0.8450
H 0.8166 0.1834 0.7072
H 0.8166 0.6332 0.7072
H 0.3668 0.1834 0.7072
H 0.6332 0.8166 0.2928
H 0.1834 0.3668 0.2928
H 0.1834 0.8166 0.2928
H 0.5000 0.0000 0.0000
H 0.0000 0.5000 0.0000
H 0.5000 0.5000 0.0000
CELL_PARAMETERS angstrom
6.1060 0.0000 0.0000
-3.0530 5.2880 0.0000
0.0000 0.0000 7.6902
```

**Symmetry**: P-3m1 (164)

(4)
Crystalline KRbMgH4 at its relaxed geometry, computed with PBE. Values from VASP.

Cell and atoms, written as Quantum ESPRESSO input:
```
&SYSTEM
  ibrav = 0, nat = 14, ntyp = 4
/
ATOMIC_SPECIES
K 39.10 K.upf
Rb 85.47 Rb.upf
Mg 24.30 Mg.upf
H 1.01 H.upf
ATOMIC_POSITIONS crystal
K 0.1098 0.2500 0.2195
K 0.8902 0.7500 0.7805
Rb 0.6017 0.7500 0.2034
Rb 0.3983 0.2500 0.7966
Mg 0.2494 0.7500 0.4988
Mg 0.7506 0.2500 0.5012
H 0.8966 0.2500 0.7932
H 0.3924 0.7500 0.7848
H 0.1034 0.7500 0.2068
H 0.6076 0.2500 0.2152
H 0.5000 0.5000 0.5000
H 0.0000 0.0000 0.5000
H 0.5000 0.0000 0.5000
H 0.0000 0.5000 0.5000
CELL_PARAMETERS angstrom
-4.5837 -3.5008 -0.1960
3.4766 -4.5798 0.4943
1.7460 2.0795 6.9860
```

**Symmetry**: Cmcm (63)

(5)
Crystalline KRbMg2H at its relaxed geometry, computed with PBE. Values from VASP.

Cell and atoms, written as Quantum ESPRESSO input:
```
&SYSTEM
  ibrav = 0, nat = 5, ntyp = 4
/
ATOMIC_SPECIES
H 1.01 H.upf
K 39.10 K.upf
Mg 24.30 Mg.upf
Rb 85.47 Rb.upf
ATOMIC_POSITIONS crystal
H 0.0000 0.5000 0.0000
K 0.0000 0.0000 0.0000
Mg 0.0000 0.0000 0.5000
Mg 0.5000 0.0000 0.0000
Rb 0.5000 0.5000 0.5000
CELL_PARAMETERS angstrom
7.1038 0.0000 0.0000
0.0000 4.7199 0.0000
0.0000 0.0000 7.1038
```

**Symmetry**: P4/mmm (123)

(6)
Crystalline K2RbMgH5 at its relaxed geometry, computed with PBE. Values from VASP.

Cell and atoms, written as Quantum ESPRESSO input:
```
&SYSTEM
  ibrav = 0, nat = 9, ntyp = 4
/
ATOMIC_SPECIES
K 39.10 K.upf
Rb 85.47 Rb.upf
Mg 24.30 Mg.upf
H 1.01 H.upf
ATOMIC_POSITIONS crystal
K 0.2140 0.2140 0.4281
K 0.7860 0.7860 0.5719
Rb 0.0000 0.5000 0.0000
Mg 0.5000 0.0000 0.0000
H 0.6178 0.8946 0.2355
H 0.3822 0.1054 0.7645
H 0.3822 0.6591 0.7645
H 0.6178 0.3409 0.2355
H 0.0000 0.0000 0.0000
CELL_PARAMETERS angstrom
4.0350 0.0000 0.0000
0.0000 6.3112 0.0000
-2.0175 -3.1556 6.2729
```

**Symmetry**: Immm (71)

| no. | raw total energy (eV per cell) |
| --- | --- |
| 1 | -31.00 |
| 2 | -38.75 |
| 3 | -38.62 |
| 4 | -37.71 |
| 5 | -6.12 |
| 6 | -23.64 |